Material: Ba2FeI2O2
Method: DFT, GGA+U
State: relaxed

Cell lengths 11.097, 11.097, 11.097 Å; angles 157.55, 157.55, 31.96 degrees
Element x y z (fractional)
Ba 0.083 0.083 0.000
Ba 0.917 0.917 0.000
Fe 0.500 0.500 0.000
I 0.336 0.336 0.000
I 0.664 0.664 0.000
O 0.000 0.500 0.500
O 0.500 0.000 0.500

Space group: I4/mmm (139)
Total DFT energy (no corrections) in eV/atom: -4.978

=====

Material: Ba2FeIO
Method: DFT, GGA+U
State: relaxed

Cell lengths 6.048, 6.048, 3.984 Å; angles 90.00, 90.00, 90.00 degrees
Element x y z (fractional)
Ba 0.000 0.500 0.000
Ba 0.500 0.000 0.000
Fe 0.000 0.000 0.500
I 0.500 0.500 0.500
O 0.000 0.000 0.000

Space group: P4/mmm (123)
Total DFT energy (no corrections) in eV/atom: -4.255

=====

Material: Ba2FeIO6
Method: DFT, GGA+U
State: relaxed

Cell lengths 10.572, 10.572, 10.572 Å; angles 33.09, 33.09, 33.09 degrees
Element x y z (fractional)
Ba 0.124 0.124 0.124
Ba 0.292 0.292 0.292
Ba 0.708 0.708 0.708
Ba 0.876 0.876 0.876
Fe 0.406 0.406 0.406
Fe 0.594 0.594 0.594
I 0.000 0.000 0.000
I 0.500 0.500 0.500
O 0.164 0.612 0.612
O 0.203 0.203 0.718
O 0.203 0.718 0.203
O 0.282 0.797 0.797
O 0.388 0.388 0.836
O 0.388 0.836 0.388
O 0.612 0.164 0.612
O 0.612 0.612 0.164
O 0.718 0.203 0.203
O 0.797 0.282 0.797
O 0.797 0.797 0.282
O 0.836 0.388 0.388

Space group: R-3m (166)
Total DFT energy (no corrections) in eV/atom: -5.701